A plane-wave DFT calculation with PBE-GGA was carried out for a relaxed LiAlMo4 crystal.

The structure belongs to space group F-43m (No. 216); the cell edges are 7.410, 7.410 and 7.410 Å and the angles 90.00°, 90.00° and 90.00°. Symmetry generates all atoms from Li at (0.000, 0.000, 0.000), Al at (0.250, 0.250, 0.250) and Mo at (0.126, 0.126, 0.626).

The formation enthalpy at 0 K comes out at 425 meV per atom. The value obtained for the density is 6.82 Mg/m³. The calculation puts the density of states at the Fermi level at 32.77 states/eV/cell.